# 1
Here is Mg2BeIn after structural relaxation from Alexandria. Energies are from PBEsol.

E above lowest polymorph (eV per formula unit): 0.00
Symmetry: Imm2, No. 44
E_tot (eV per atom): -2.403
Formation energy (eV/f.u.): 0.8
Size of the total moment (Bohr magnetons per cell): 0.000

```
4
Lattice="-1.470 2.223 6.040 1.470 -2.223 6.040 1.470 2.223 -6.040" Properties=species:S:1:pos:R:3 pbc="T T T"
Mg 0.000 0.000 0.000
Mg 0.000 2.223 2.271
Be 1.470 0.000 2.274
In 0.000 0.000 4.521
```


# 2
Here is CaAlRePt2 after structural relaxation from Alexandria. Energies are from PBEsol.

Symmetry: P4/mmm, No. 123
E_tot (eV per atom): -5.758
Formation energy (eV/f.u.): 4.7
Size of the total moment (Bohr magnetons per cell): 0.000

```
5
Lattice="4.797 0.000 0.000 0.000 4.797 0.000 0.000 0.000 5.230" Properties=species:S:1:pos:R:3 pbc="T T T"
Ca 0.000 0.000 0.000
Al 2.398 2.398 0.000
Re 0.000 0.000 2.615
Pt 0.000 2.398 2.615
Pt 2.398 0.000 2.615
```


# 3
Here is BaBe2Si2 after structural relaxation from Alexandria. Energies are from PBEsol.

Symmetry: I4/mmm, No. 139
E_tot (eV per atom): -4.474
Size of the total moment (Bohr magnetons per cell): 0.000

```
5
Lattice="-2.107 2.107 4.868 2.107 -2.107 4.868 2.107 2.107 -4.868" Properties=species:S:1:pos:R:3 pbc="T T T"
Ba 0.000 0.000 0.000
Be 2.107 0.000 2.434
Be 0.000 2.107 2.434
Si 0.000 0.000 3.601
Si 0.000 0.000 6.135
```


# 4
Here is LaRu2Pt after structural relaxation from Alexandria. Energies are from PBEsol.

E above lowest polymorph (eV per formula unit): 0.73
Symmetry: P2/m, No. 10
E_tot (eV per atom): -7.938
Formation energy (eV/f.u.): 0.9
Size of the total moment (Bohr magnetons per cell): 0.000

```
4
Lattice="2.867 0.000 0.000 0.000 4.652 0.000 -0.655 0.000 5.241" Properties=species:S:1:pos:R:3 pbc="T T T"
La 0.000 0.000 0.000
Ru 0.394 2.326 3.707
Ru 1.817 2.326 1.534
Pt 1.106 0.000 2.620
```


# 5
Here is ZnCo2Br after structural relaxation from Alexandria. Energies are from PBEsol.

E above lowest polymorph (eV per formula unit): 1.07
Symmetry: Fm-3m, No. 225
E_tot (eV per atom): -4.114
Size of the total moment (Bohr magnetons per cell): 2.471

```
4
Lattice="0.000 2.974 2.974 2.974 0.000 2.974 2.974 2.974 0.000" Properties=species:S:1:pos:R:3 pbc="T T T"
Zn 0.000 0.000 0.000
Co 1.487 1.487 1.487
Co 4.460 4.460 4.460
Br 2.974 2.974 2.974
```


# 6
Here is HPdO2F after structural relaxation from Alexandria. Energies are from PBEsol.

Symmetry: P4/mmm, No. 123
E_tot (eV per atom): -4.085
Size of the total moment (Bohr magnetons per cell): 1.234

```
5
Lattice="3.913 0.000 0.000 0.000 3.913 0.000 0.000 0.000 2.553" Properties=species:S:1:pos:R:3 pbc="T T T"
H 0.000 0.000 0.000
Pd 1.957 1.957 1.277
O 0.000 1.957 0.000
O 1.957 0.000 0.000
F 0.000 0.000 1.277
```


D(E_F) values, unit states/eV per atom, following the record order: 0.33 0.65 0.18 1.56 0.62 0.82.